1.
Mn2CdBr (GGA-PBE, optimized geometry); total energy = -4.621 eV per atom; ΔE to the lowest computed polymorph = 401 meV/atom; space group = Fm-3m (225); size of the total moment = 7.2 μB/f.u.; formation energy from raw total energies = 0.6103 eV per atom
1.0
0.0000 3.3608 3.3608
3.3608 0.0000 3.3608
3.3608 3.3608 0.0000
Br Cd Mn
1 1 2
direct
0.0000 0.0000 0.0000 Br
0.5000 0.5000 0.5000 Cd
0.2500 0.2500 0.2500 Mn
0.7500 0.7500 0.7500 Mn

---

2.
Pr2IrPt (GGA-PBE, optimized geometry); total energy = -6.892 eV per atom; space group = P4/mmm (123); size of the total moment = 0.0 μB/f.u.
1.0
-0.9689 3.2503 -1.2273
-1.6737 0.6799 3.1218
6.0882 2.8158 2.6509
Pr Ir Pt
2 1 1
direct
0.0000 0.0000 0.7579 Pr
0.0000 0.0000 0.2421 Pr
0.5000 0.5000 0.0000 Ir
0.5000 0.5000 0.5000 Pt

---

3.
Rb2SrClF6 (GGA-PBE, optimized geometry); total energy = -3.904 eV per atom; space group = I4/mmm (139); size of the total moment = 1.0 μB/f.u.; formation energy from raw total energies = -2.2348 eV per atom
1.0
-2.0637 -5.6983 1.5725
5.8353 -2.2300 -0.4230
2.7212 -2.7919 5.9195
F Rb Cl Sr
6 2 1 1
direct
0.2127 0.2127 0.5747 F
0.2678 0.2678 0.0000 F
0.7322 0.7322 0.0000 F
0.7322 0.2678 0.0000 F
0.7873 0.7873 0.4253 F
0.2678 0.7322 0.0000 F
0.7500 0.2500 0.5000 Rb
0.2500 0.7500 0.5000 Rb
0.5000 0.5000 0.0000 Cl
0.0000 0.0000 0.0000 Sr

---

4.
Ta3InOs (GGA-PBE, optimized geometry); total energy = -7.285 eV per atom; ΔE to the lowest computed polymorph = 1640 meV/atom; space group = Pm-3m (221); size of the total moment = 0.0 μB/f.u.
1.0
4.8744 0.0000 0.0000
0.0000 4.8744 0.0000
0.0000 0.0000 4.8744
Ta In Os
3 1 1
direct
0.5000 0.0000 0.0000 Ta
0.0000 0.5000 0.0000 Ta
0.0000 0.0000 0.5000 Ta
0.0000 0.0000 0.0000 In
0.5000 0.5000 0.5000 Os

---

5.
Ta2WBr (GGA-PBE, optimized geometry); total energy = -8.758 eV per atom; ΔE to the lowest computed polymorph = 656 meV/atom; space group = Pmmm (47); size of the total moment = 0.0 μB/f.u.; formation energy from raw total energies = 0.8250 eV per atom
1.0
3.2135 0.0000 0.0000
0.0000 4.9045 0.0000
0.0000 0.0000 4.5237
W Br Ta
1 1 2
direct
0.5000 0.0000 0.5000 W
0.0000 0.5000 0.5000 Br
0.5000 0.5000 0.0000 Ta
0.0000 0.0000 0.0000 Ta

---

6.
Gd2ZrSn (GGA-PBE, optimized geometry); total energy = -10.518 eV per atom; ΔE to the lowest computed polymorph = 0 meV/atom; space group = P4/mmm (123); size of the total moment = 14.4 μB/f.u.
1.0
-1.8437 2.9998 3.1971
-3.3242 1.2129 -3.0550
-2.7422 -3.4189 1.6265
Sn Gd Zr
1 2 1
direct
0.5000 0.0000 0.0000 Sn
0.0000 0.5000 0.0000 Gd
0.0000 0.0000 0.5000 Gd
0.5000 0.5000 0.5000 Zr